Entry 1:
Below is a relaxed structure of Tb10CeY6, with properties calculated at the GGA-PBE level.

a b c (Å): 6.836 9.689 9.689
angles (deg): 120.00 90.00 90.00
Site moments in Bohr magnetons follow the coordinates.
Atoms (fractional coordinates):
Tb 0.816 0.728 0.728  0.00
Tb 0.816 0.000 0.272  0.00
Tb 0.816 0.272 0.000  0.00
Tb 0.184 0.272 0.272  0.00
Tb 0.184 0.000 0.728  0.00
Tb 0.184 0.728 0.000  0.00
Tb 0.500 0.333 0.667  0.02
Tb 0.500 0.667 0.333  0.02
Tb 0.000 0.667 0.333  0.00
Tb 0.000 0.333 0.667  0.00
Ce 0.500 0.000 0.000  0.81
Y 0.698 0.376 0.376  0.00
Y 0.698 0.000 0.624  0.00
Y 0.698 0.624 0.000  0.00
Y 0.302 0.624 0.624  0.00
Y 0.302 0.000 0.376  0.00
Y 0.302 0.376 0.000  0.00

Output
SG: P-31m
DFT total energy (eV/atom): -5.199
M_tot (μB per atom): 0.06



Entry 2:
Below is a relaxed structure of Ba2LaCl2O2, with properties calculated at the GGA-PBE level.

a b c (Å): 4.715 4.715 8.780
angles (deg): 105.58 105.58 90.00
Site moments in Bohr magnetons follow the coordinates.
Atoms (fractional coordinates):
Ba 0.383 0.383 0.767  0.05
Ba 0.617 0.617 0.233  0.05
La 0.000 0.000 0.000  0.10
Cl 0.186 0.186 0.372  0.00
Cl 0.814 0.814 0.628  0.00
O 0.000 0.500 0.000  -0.01
O 0.500 0.000 0.000  -0.01

Output
SG: I4/mmm
DFT total energy (eV/atom): -5.667
ΔE_f (raw) (eV per atom): -2.4698
M_tot (μB per atom): 0.06



Entry 3:
Below is a relaxed structure of B5C7, with properties calculated at the GGA-PBE level.

a b c (Å): 2.583 2.583 13.598
angles (deg): 90.00 90.00 120.00
Atoms (fractional coordinates):
B 0.000 0.000 0.885
B 0.333 0.667 0.678
B 0.000 0.000 0.474
B 0.333 0.667 0.553
B 0.333 0.667 0.161
C 0.667 0.333 0.836
C 0.667 0.333 0.733
C 0.667 0.333 0.319
C 0.000 0.000 0.358
C 0.667 0.333 0.207
C 0.000 0.000 0.006
C 0.333 0.667 0.039

Output
SG: P3m1
DFT total energy (eV/atom): -7.778
Energy relative to the lowest polymorph listed for this composition (eV/f.u.): 1.518
M_tot (μB per atom): 0.00



Entry 4:
Below is a relaxed structure of Er3CBr3, with properties calculated at the GGA-PBE level.

a b c (Å): 3.741 8.190 11.144
angles (deg): 92.09 90.00 90.00
Atoms (fractional coordinates):
Er 0.250 0.306 0.619
Er 0.750 0.694 0.381
Er 0.250 0.915 0.604
Er 0.750 0.085 0.396
Er 0.250 0.883 0.173
Er 0.750 0.117 0.827
C 0.250 0.879 0.382
C 0.750 0.121 0.618
Br 0.250 0.382 0.369
Br 0.750 0.618 0.631
Br 0.250 0.864 0.875
Br 0.750 0.136 0.125
Br 0.250 0.374 0.873
Br 0.750 0.626 0.127

Output
SG: P2_1/m
DFT total energy (eV/atom): -5.284
ΔE_f (raw) (eV per atom): -1.2936
M_tot (μB per atom): 0.00